## A
Below is YBeSn3 after structural relaxation, with properties calculated at the PBE level.

As for the magnetic moment: 0.000 μB/atom.

Structure (CIF):
```
data_YBeSn3
_chemical_formula_sum 'Y1 Be1 Sn3'
_cell_length_a 5.8103
_cell_length_b 5.8103
_cell_length_c 5.8103
_cell_angle_alpha 90.00
_cell_angle_beta 90.00
_cell_angle_gamma 90.00
_space_group_name_H-M_alt 'P m -3 m'
_space_group_IT_number 221
_space_group_name_Hall '-P 4 2 3'
loop_
_atom_site_label
_atom_site_fract_x
_atom_site_fract_y
_atom_site_fract_z
_atom_site_occupancy
Y1 0.0000 0.0000 0.0000 1
Be1 0.5000 0.5000 0.5000 1
Sn1 0.0000 0.0000 0.5000 1
```

## B
Below is YBeSn3 after structural relaxation, with properties calculated at the PBE level.

As for the magnetic moment: 0.000 μB/atom.

Structure (CIF):
```
data_YBeSn3
_chemical_formula_sum 'Y1 Be1 Sn3'
_cell_length_a 4.9891
_cell_length_b 4.9891
_cell_length_c 4.9891
_cell_angle_alpha 90.00
_cell_angle_beta 90.00
_cell_angle_gamma 90.00
_space_group_name_H-M_alt 'P m -3 m'
_space_group_IT_number 221
_space_group_name_Hall '-P 4 2 3'
loop_
_atom_site_label
_atom_site_fract_x
_atom_site_fract_y
_atom_site_fract_z
_atom_site_occupancy
Y1 0.0000 0.0000 0.0000 1
Be1 0.5000 0.5000 0.5000 1
Sn1 0.0000 0.5000 0.5000 1
```

Referenced to the most stable arrangement, the calculated values in meV per atom are A 949; B 0.

## A
Below is Be2Zn2Sn after structural relaxation, with properties calculated at the PBE level.

As for the magnetic moment: 0.000 μB/atom.

Structure (CIF):
```
data_Be2Zn2Sn
_chemical_formula_sum 'Be4 Zn4 Sn2'
_cell_length_a 6.9777
_cell_length_b 6.9777
_cell_length_c 3.1075
_cell_angle_alpha 90.00
_cell_angle_beta 90.00
_cell_angle_gamma 90.00
_space_group_name_H-M_alt 'P 4/m b m'
_space_group_IT_number 127
_space_group_name_Hall '-P 4 2ab'
loop_
_atom_site_label
_atom_site_fract_x
_atom_site_fract_y
_atom_site_fract_z
_atom_site_occupancy
Be1 0.1126 0.3874 0.0000 1
Zn1 0.1726 0.6726 0.5000 1
Sn1 0.0000 0.0000 0.0000 1
```

## B
Below is Be2Zn2Sn after structural relaxation, with properties calculated at the PBE level.

As for the magnetic moment: 0.000 μB/atom.

Structure (CIF):
```
data_Be2Zn2Sn
_chemical_formula_sum 'Be4 Zn4 Sn2'
_cell_length_a 3.6721
_cell_length_b 3.6721
_cell_length_c 11.3350
_cell_angle_alpha 90.00
_cell_angle_beta 90.00
_cell_angle_gamma 90.00
_space_group_name_H-M_alt 'I 4/m m m'
_space_group_IT_number 139
_space_group_name_Hall '-I 4 2'
loop_
_atom_site_label
_atom_site_fract_x
_atom_site_fract_y
_atom_site_fract_z
_atom_site_occupancy
Be1 0.0000 0.5000 0.2500 1
Zn1 0.0000 0.0000 0.1162 1
Sn1 0.0000 0.0000 0.5000 1
```

## C
Below is Be2Zn2Sn after structural relaxation, with properties calculated at the PBE level.

As for the magnetic moment: 0.000 μB/atom.

Structure (CIF):
```
data_Be2Zn2Sn
_chemical_formula_sum 'Be4 Zn4 Sn2'
_cell_length_a 7.5007
_cell_length_b 7.5007
_cell_length_c 2.6890
_cell_angle_alpha 90.00
_cell_angle_beta 90.00
_cell_angle_gamma 90.00
_space_group_name_H-M_alt 'P 4/m b m'
_space_group_IT_number 127
_space_group_name_Hall '-P 4 2ab'
loop_
_atom_site_label
_atom_site_fract_x
_atom_site_fract_y
_atom_site_fract_z
_atom_site_occupancy
Be1 0.1620 0.3380 0.0000 1
Zn1 0.1289 0.6289 0.5000 1
Sn1 0.0000 0.0000 0.5000 1
```

Referenced to the most stable arrangement, the calculated values in meV per atom are A 46; B 0; C 66.

## A
Below is BeZn2Sn2 after structural relaxation, with properties calculated at the PBE level.

As for the magnetic moment: 0.000 μB/atom.

Structure (CIF):
```
data_BeZn2Sn2
_chemical_formula_sum 'Be2 Zn4 Sn4'
_cell_length_a 6.8086
_cell_length_b 6.8086
_cell_length_c 4.5785
_cell_angle_alpha 90.00
_cell_angle_beta 90.00
_cell_angle_gamma 90.00
_space_group_name_H-M_alt 'P 4/m b m'
_space_group_IT_number 127
_space_group_name_Hall '-P 4 2ab'
loop_
_atom_site_label
_atom_site_fract_x
_atom_site_fract_y
_atom_site_fract_z
_atom_site_occupancy
Be1 0.0000 0.0000 0.0000 1
Zn1 0.1445 0.3555 0.5000 1
Sn1 0.1649 0.6649 0.0000 1
```

## B
Below is BeZn2Sn2 after structural relaxation, with properties calculated at the PBE level.

As for the magnetic moment: 0.000 μB/atom.

Structure (CIF):
```
data_BeZn2Sn2
_chemical_formula_sum 'Be2 Zn4 Sn4'
_cell_length_a 6.6305
_cell_length_b 6.6305
_cell_length_c 4.4573
_cell_angle_alpha 90.00
_cell_angle_beta 90.00
_cell_angle_gamma 90.00
_space_group_name_H-M_alt 'P 4/m b m'
_space_group_IT_number 127
_space_group_name_Hall '-P 4 2ab'
loop_
_atom_site_label
_atom_site_fract_x
_atom_site_fract_y
_atom_site_fract_z
_atom_site_occupancy
Be1 0.0000 0.0000 0.0000 1
Zn1 0.1421 0.3579 0.0000 1
Sn1 0.1744 0.6744 0.5000 1
```

Referenced to the most stable arrangement, the calculated values in meV per atom are A 55; B 0.

## A
Below is ZrBe3Sn after structural relaxation, with properties calculated at the PBE level.

As for the magnetic moment: 0.000 μB/atom.

Structure (CIF):
```
data_ZrBe3Sn
_chemical_formula_sum 'Zr1 Be3 Sn1'
_cell_length_a 4.4595
_cell_length_b 4.4595
_cell_length_c 4.4595
_cell_angle_alpha 90.00
_cell_angle_beta 90.00
_cell_angle_gamma 90.00
_space_group_name_H-M_alt 'P m -3 m'
_space_group_IT_number 221
_space_group_name_Hall '-P 4 2 3'
loop_
_atom_site_label
_atom_site_fract_x
_atom_site_fract_y
_atom_site_fract_z
_atom_site_occupancy
Zr1 0.0000 0.0000 0.0000 1
Be1 0.0000 0.5000 0.5000 1
Sn1 0.5000 0.5000 0.5000 1
```

## B
Below is ZrBe3Sn after structural relaxation, with properties calculated at the PBE level.

As for the magnetic moment: 0.000 μB/atom.

Structure (CIF):
```
data_ZrBe3Sn
_chemical_formula_sum 'Zr1 Be3 Sn1'
_cell_length_a 4.7049
_cell_length_b 4.7049
_cell_length_c 4.7049
_cell_angle_alpha 90.00
_cell_angle_beta 90.00
_cell_angle_gamma 90.00
_space_group_name_H-M_alt 'P m -3 m'
_space_group_IT_number 221
_space_group_name_Hall '-P 4 2 3'
loop_
_atom_site_label
_atom_site_fract_x
_atom_site_fract_y
_atom_site_fract_z
_atom_site_occupancy
Zr1 0.0000 0.0000 0.0000 1
Be1 0.0000 0.0000 0.5000 1
Sn1 0.5000 0.5000 0.5000 1
```

Referenced to the most stable arrangement, the calculated values in meV per atom are A 0; B 412.

## A
Below is SrBe after structural relaxation, with properties calculated at the PBE level.

As for the magnetic moment: 0.000 μB/atom.

Structure (CIF):
```
data_SrBe
_chemical_formula_sum 'Sr6 Be6'
_cell_length_a 4.2195
_cell_length_b 4.2195
_cell_length_c 23.6857
_cell_angle_alpha 90.00
_cell_angle_beta 90.00
_cell_angle_gamma 120.00
_space_group_name_H-M_alt 'R -3 m'
_space_group_IT_number 166
_space_group_name_Hall '-R 3 2"'
loop_
_atom_site_label
_atom_site_fract_x
_atom_site_fract_y
_atom_site_fract_z
_atom_site_occupancy
Sr1 0.0000 0.0000 0.0819 1
Be1 0.0000 0.0000 0.3333 1
```

## B
Below is SrBe after structural relaxation, with properties calculated at the PBE level.

As for the magnetic moment: 0.000 μB/atom.

Structure (CIF):
```
data_SrBe
_chemical_formula_sum 'Sr1 Be1'
_cell_length_a 3.7724
_cell_length_b 3.7724
_cell_length_c 3.7172
_cell_angle_alpha 90.00
_cell_angle_beta 90.00
_cell_angle_gamma 90.00
_space_group_name_H-M_alt 'P 4/m m m'
_space_group_IT_number 123
_space_group_name_Hall '-P 4 2'
loop_
_atom_site_label
_atom_site_fract_x
_atom_site_fract_y
_atom_site_fract_z
_atom_site_occupancy
Sr1 0.0000 0.0000 0.0000 1
Be1 0.5000 0.5000 0.5000 1
```

## C
Below is SrBe after structural relaxation, with properties calculated at the PBE level.

As for the magnetic moment: 0.000 μB/atom.

Structure (CIF):
```
data_SrBe
_chemical_formula_sum 'Sr8 Be8'
_cell_length_a 11.3285
_cell_length_b 11.3285
_cell_length_c 4.0971
_cell_angle_alpha 90.00
_cell_angle_beta 90.00
_cell_angle_gamma 90.00
_space_group_name_H-M_alt 'I 4/m m m'
_space_group_IT_number 139
_space_group_name_Hall '-I 4 2'
loop_
_atom_site_label
_atom_site_fract_x
_atom_site_fract_y
_atom_site_fract_z
_atom_site_occupancy
Sr1 0.0000 0.2636 0.0000 1
Be1 0.2328 0.2328 0.5000 1
```

Referenced to the most stable arrangement, the calculated values in meV per atom are A 0; B 246; C 73.

## A
Below is Sr3Be4 after structural relaxation, with properties calculated at the PBE level.

As for the magnetic moment: 0.000 μB/atom.

Structure (CIF):
```
data_Sr3Be4
_chemical_formula_sum 'Sr6 Be8'
_cell_length_a 3.2658
_cell_length_b 3.2658
_cell_length_c 29.0650
_cell_angle_alpha 90.00
_cell_angle_beta 90.00
_cell_angle_gamma 90.00
_space_group_name_H-M_alt 'I 4/m m m'
_space_group_IT_number 139
_space_group_name_Hall '-I 4 2'
loop_
_atom_site_label
_atom_site_fract_x
_atom_site_fract_y
_atom_site_fract_z
_atom_site_occupancy
Sr1 0.0000 0.0000 0.0000 1
Sr2 0.0000 0.0000 0.3128 1
Be1 0.0000 0.0000 0.1058 1
Be2 0.0000 0.0000 0.4182 1
```

## B
Below is Sr3Be4 after structural relaxation, with properties calculated at the PBE level.

As for the magnetic moment: 0.000 μB/atom.

Structure (CIF):
```
data_Sr3Be4
_chemical_formula_sum 'Sr3 Be4'
_cell_length_a 7.6111
_cell_length_b 7.6111
_cell_length_c 4.2784
_cell_angle_alpha 90.00
_cell_angle_beta 90.00
_cell_angle_gamma 120.00
_space_group_name_H-M_alt 'P 6/m m m'
_space_group_IT_number 191
_space_group_name_Hall '-P 6 2'
loop_
_atom_site_label
_atom_site_fract_x
_atom_site_fract_y
_atom_site_fract_z
_atom_site_occupancy
Sr1 0.0000 0.5000 0.0000 1
Be1 0.0000 0.0000 0.2528 1
Be2 0.3333 0.6667 0.5000 1
```

Referenced to the most stable arrangement, the calculated values in meV per atom are A 0; B 340.